[1]
Sr5Bi2H (PBE-GGA, relaxed); density of states at the Fermi level = 2.9 states/eV/cell; M_tot = 0.00 μB/atom; raw total energy = -2.93 eV per atom
1.0
7.6927 0.0002 -0.0007
0.0004 7.6927 -0.0006
-3.8466 -3.8465 4.9920
Sr Bi H
5 2 1
direct
0.7543 0.2528 0.0072
0.2529 0.2529 0.0072
0.7543 0.7543 0.0071
0.2528 0.7543 0.0072
0.7552 0.7552 0.5103
0.2551 0.7550 0.5100
0.7550 0.2551 0.5100
0.9975 0.9975 0.9950

***

[2]
SrBiH (PBE-GGA, relaxed); density of states at the Fermi level = 1.3 states/eV/cell; M_tot = 0.00 μB/atom; raw total energy = -3.07 eV per atom
1.0
4.6321 0.0000 0.0000
0.0000 4.4202 0.0000
0.0000 -2.2101 3.8280
Sr Bi H
1 1 1
direct
0.9727 0.0000 0.0000
0.4886 0.6667 0.3333
0.5388 0.3333 0.6667

***

[3]
SrBiH (PBE-GGA, relaxed); density of states at the Fermi level = 0.9 states/eV/cell; M_tot = 0.00 μB/atom; raw total energy = -3.43 eV per atom
1.0
-3.0784 -1.0493 2.6969
5.1650 -0.8177 2.2679
-3.5205 8.7010 -0.6332
Sr Bi H
2 2 2
direct
0.7191 0.4381 0.3090
0.2809 0.5619 0.6910
0.8805 0.7610 0.0561
0.1195 0.2390 0.9439
0.3067 0.6134 0.4507
0.6933 0.3866 0.5493

***

[4]
SrBi3H (PBE-GGA, relaxed); density of states at the Fermi level = 2.4 states/eV/cell; M_tot = 0.00 μB/atom; raw total energy = -3.48 eV per atom
1.0
5.1085 0.0000 0.0000
0.0000 5.1085 0.0000
0.0000 0.0000 5.1085
Sr Bi H
1 3 1
direct
0.5000 0.5000 0.5000
0.0000 0.5000 0.0000
0.0000 0.0000 0.5000
0.5000 0.0000 0.0000
0.0000 0.0000 0.0000

***

[5]
Sr2BiH2 (PBE-GGA, relaxed); density of states at the Fermi level = 1.8 states/eV/cell; M_tot = 0.00 μB/atom; raw total energy = -3.15 eV per atom
1.0
-1.6893 5.4335 5.8386
1.1473 -5.7405 5.6741
3.2967 0.8343 0.1775
Sr Bi H
4 2 4
direct
0.1490 0.6490 0.5000
0.6490 0.8510 0.5000
0.8510 0.3510 0.5000
0.3510 0.1490 0.5000
0.0000 0.0000 0.0000
0.5000 0.5000 0.0000
0.4038 0.9038 0.0000
0.9038 0.5962 0.0000
0.5962 0.0962 0.0000
0.0962 0.4038 0.0000

***

[6]
Sr3Bi2H (PBE-GGA, relaxed); density of states at the Fermi level = 2.2 states/eV/cell; M_tot = 0.00 μB/atom; raw total energy = -3.39 eV per atom
1.0
-6.1771 -2.7619 1.0956
0.9246 -5.2079 -7.9155
5.5423 -2.2102 4.2340
Sr Bi H
6 4 2
direct
0.3546 0.2500 0.0000
0.6454 0.7500 0.0000
0.0108 0.1652 0.2842
0.7266 0.3348 0.7158
0.2734 0.6652 0.2842
0.9892 0.8348 0.7158
0.7709 0.5115 0.2860
0.5151 0.0115 0.2860
0.4849 0.9885 0.7140
0.2291 0.4885 0.7140
0.9858 0.7500 0.0000
0.0142 0.2500 0.0000

***

[7]
Sr3BiH (PBE-GGA, relaxed); density of states at the Fermi level = 7.0 states/eV/cell; M_tot = 0.00 μB/atom; raw total energy = -2.88 eV per atom
1.0
5.3819 0.0000 0.0000
0.0000 5.3819 0.0000
0.0000 0.0000 5.3819
Sr Bi H
3 1 1
direct
0.0000 0.5000 0.0000
0.0000 0.0000 0.5000
0.5000 0.0000 0.0000
0.5000 0.5000 0.5000
0.0000 0.0000 0.0000

***

[8]
Sr3BiH (PBE-GGA, relaxed); density of states at the Fermi level = 5.4 states/eV/cell; M_tot = 0.00 μB/atom; raw total energy = -2.91 eV per atom
1.0
4.5927 -0.0008 -0.0012
0.0015 8.8995 0.0645
0.0026 3.1546 8.3225
Sr Bi H
6 2 2
direct
0.8633 0.3770 0.8120
0.8633 0.0112 0.6809
0.8632 0.6285 0.0637
0.3632 0.0153 0.0675
0.8631 0.7598 0.4292
0.3633 0.3730 0.4254
0.3632 0.6941 0.7464
0.8633 0.1942 0.2464
0.3626 0.6942 0.2465
0.3638 0.1942 0.7464

***

Among the records above, which one has the lowest raw total energy?
SrBi3H